# 1
# Pm2Sc3Ga2

A relaxed Pm2Sc3Ga2 crystal (PBE, Alexandria via LeMat-Bulk).

The structure in POSCAR format:
```
Pm2Sc3Ga2
1.0
5.7027 -2.1752 0.0000
5.7027 2.1752 0.0000
-2.6423 0.0000 7.1326
Pm Sc Ga
2 3 2
direct
0.1436 0.1436 0.2927
0.8564 0.8564 0.7073
0.3687 0.3687 0.0571
0.5000 0.5000 0.5000
0.6313 0.6313 0.9429
0.1558 0.1558 0.7194
0.8442 0.8442 0.2806
```

The volume is 176.9 Å³/cell. The formation energy comes out at -2.4 eV per formula unit.


# 2
# PmSc2Ga2

A relaxed PmSc2Ga2 crystal (PBE, Alexandria via LeMat-Bulk).

The structure in POSCAR format:
```
PmSc2Ga2
1.0
5.0819 0.0000 0.0000
0.0000 4.2343 0.0000
-0.9040 0.0000 11.0514
Pm Sc Ga
2 4 4
direct
0.1857 0.2500 0.2456
0.8143 0.7500 0.7544
0.2429 0.7500 0.4865
0.3502 0.2500 0.8913
0.6498 0.7500 0.1087
0.7571 0.2500 0.5135
0.1452 0.7500 0.0241
0.2787 0.2500 0.6450
0.7213 0.7500 0.3550
0.8548 0.2500 0.9759
```

The volume is 237.8 Å³/cell. The formation energy comes out at -2.1 eV per formula unit. The energy above the most stable polymorph in this dataset comes out at 76 meV per atom.


# 3
# Pm2ScGa3

A relaxed Pm2ScGa3 crystal (PBE, Alexandria via LeMat-Bulk).

The structure in POSCAR format:
```
Pm2ScGa3
1.0
3.5528 0.0000 0.0000
0.0000 3.5528 0.0000
0.0000 0.0000 10.7918
Pm Sc Ga
2 1 3
direct
0.0000 0.0000 0.1777
0.0000 0.0000 0.8223
0.0000 0.0000 0.5000
0.5000 0.5000 0.0000
0.5000 0.5000 0.3603
0.5000 0.5000 0.6397
```

The volume is 136.2 Å³/cell. The formation energy comes out at -3.5 eV per formula unit.


# 4
# PmSc2Ga

A relaxed PmSc2Ga crystal (PBE, Alexandria via LeMat-Bulk).

The structure in POSCAR format:
```
PmSc2Ga
1.0
3.3573 0.0000 0.0000
0.0000 3.3573 0.0000
0.0000 0.0000 8.5035
Pm Sc Ga
1 2 1
direct
0.0000 0.0000 0.0000
0.5000 0.5000 0.2983
0.5000 0.5000 0.7017
0.0000 0.0000 0.5000
```

The volume is 95.8 Å³/cell. The formation energy comes out at -1.2 eV per formula unit. The energy above the most stable polymorph in this dataset comes out at 0 meV per atom.


| no. | electronic total energy (eV/atom) |
| --- | --- |
| 1 | -5.276 |
| 2 | -5.109 |
| 3 | -4.728 |
| 4 | -5.399 |